Density functional theory data (PBE) for an optimized crystal structure of NaPrZnSe3.

Cell: 14.063 4.167 11.543 Å, 90.00 90.00 90.00°
Fractional coordinates of all 24 atoms:
1 Na 0.234 0.250 0.071
2 Na 0.266 0.750 0.571
3 Na 0.734 0.250 0.429
4 Na 0.766 0.750 0.929
5 Pr 0.020 0.250 0.341
6 Pr 0.480 0.750 0.841
7 Pr 0.520 0.250 0.159
8 Pr 0.980 0.750 0.659
9 Zn 0.011 0.750 0.094
10 Zn 0.489 0.250 0.594
11 Zn 0.511 0.750 0.406
12 Zn 0.989 0.250 0.906
13 Se 0.093 0.750 0.895
14 Se 0.111 0.250 0.570
15 Se 0.141 0.750 0.234
16 Se 0.359 0.250 0.734
17 Se 0.389 0.750 0.070
18 Se 0.407 0.250 0.395
19 Se 0.593 0.750 0.605
20 Se 0.611 0.250 0.930
21 Se 0.641 0.750 0.266
22 Se 0.859 0.250 0.766
23 Se 0.889 0.750 0.430
24 Se 0.907 0.250 0.105

Values from the calculation:
* distance to the lowest polymorph of the same formula: 0.019 eV per atom
* raw total energy: -4.252 eV/atom
* V: 676.4 Å³/cell
* total magnetization: 0.001 μB per formula unit